No. 1
The following is a DFT calculation (PBE) of a relaxed structure of UInCuPt.

Calculated values
DFT total energy ... -6.2870 eV per atom
Symmetry ... No. 216
ΔH_f (0 K) ... -0.2461 eV per atom
N(E_F) ... 1.92 states/eV/atom
Total magnetic moment ... 1.9 μB/f.u.

```
UInCuPt
1.0
0.000 3.384 3.384
3.384 0.000 3.384
3.384 3.384 0.000
U In Cu Pt
1 1 1 1
Cartesian
0.000 0.000 0.000
3.384 3.384 3.384
5.076 5.076 5.076
1.692 1.692 1.692
```

No. 2
The following is a DFT calculation (PBE) of a relaxed structure of Zn3Fe13.

Calculated values
DFT total energy ... -7.0731 eV per atom
Symmetry ... No. 38
ΔH_f (0 K) ... 0.0417 eV per atom
N(E_F) ... 0.90 states/eV/atom
Total magnetic moment ... 30.6 μB/f.u.

```
Zn3Fe13
1.0
5.827 0.000 0.000
0.000 4.060 4.055
0.000 -4.060 4.055
Zn Fe
3 13
Cartesian
0.000 0.000 0.000
1.456 0.000 2.081
4.372 0.000 2.081
0.000 0.000 4.135
0.000 -1.960 6.099
0.000 1.960 6.099
1.474 -2.002 4.085
1.474 2.002 4.085
1.479 0.000 6.107
2.914 -1.999 6.097
2.914 0.000 4.122
2.914 1.999 6.097
2.914 0.000 8.102
4.348 0.000 6.107
4.353 -2.002 4.085
4.353 2.002 4.085
```

No. 3
The following is a DFT calculation (PBE) of a relaxed structure of HfZrPaMo.

Calculated values
DFT total energy ... -9.6618 eV per atom
Symmetry ... No. 216
ΔH_f (0 K) ... 0.0454 eV per atom
N(E_F) ... 1.01 states/eV/atom
Total magnetic moment ... 0.0 μB/f.u.

```
HfZrPaMo
1.0
0.000 3.476 3.476
3.476 0.000 3.476
3.476 3.476 0.000
Hf Zr Pa Mo
1 1 1 1
Cartesian
0.000 0.000 0.000
5.214 5.214 5.214
3.476 3.476 3.476
1.738 1.738 1.738
```

No. 4
The following is a DFT calculation (PBE) of a relaxed structure of Sc2Ag2Pd5.

Calculated values
DFT total energy ... -5.3191 eV per atom
Symmetry ... No. 46
ΔH_f (0 K) ... -0.3935 eV per atom
N(E_F) ... 0.40 states/eV/atom
Total magnetic moment ... 0.0 μB/f.u.

```
Sc2Ag2Pd5
1.0
-7.823 3.825 2.642
7.823 -3.825 2.642
7.823 3.825 -2.642
Sc Ag Pd
4 4 10
Cartesian
0.000 0.000 0.000
7.823 0.000 0.000
3.911 1.168 -0.022
3.911 2.657 2.620
8.999 3.196 0.004
6.647 -0.628 2.646
1.176 4.453 0.004
-1.176 0.628 2.646
-1.555 5.743 1.314
1.555 1.918 3.956
10.352 0.954 0.010
13.116 0.954 0.010
3.911 -0.060 2.628
1.555 1.907 1.314
6.267 1.907 1.314
3.911 3.885 -0.014
-5.293 2.871 2.652
-2.529 2.871 2.652
```

No. 5
The following is a DFT calculation (PBE) of a relaxed structure of NdDy3N4.

Calculated values
DFT total energy ... -8.0709 eV per atom
Formation energy from raw total energies ... -1586 meV/atom
Symmetry ... No. 221
N(E_F) ... 0.13 states/eV/atom
Distance to the lowest polymorph of the same formula ... 13 meV/atom
Total magnetic moment ... 0.0 μB/f.u.

```
NdDy3N4
1.0
4.982 0.000 0.000
0.000 4.982 0.000
0.000 0.000 4.982
Nd Dy N
1 3 4
Cartesian
0.000 0.000 0.000
0.000 2.491 2.491
2.491 0.000 2.491
2.491 2.491 0.000
0.000 0.000 2.491
0.000 2.491 0.000
2.491 0.000 0.000
2.491 2.491 2.491
```

No. 6
The following is a DFT calculation (PBE) of a relaxed structure of TaReSb4.

Calculated values
DFT total energy ... -5.2927 eV per atom
Formation energy from raw total energies ... 1506 meV/atom
Symmetry ... No. 216
N(E_F) ... 0.92 states/eV/atom
Total magnetic moment ... 1.6 μB/f.u.

```
TaReSb4
1.0
0.000 4.171 4.171
4.171 0.000 4.171
4.171 4.171 0.000
Ta Re Sb
1 1 4
Cartesian
0.000 0.000 0.000
6.256 6.256 6.256
3.128 3.128 3.128
5.213 5.213 3.128
5.213 3.128 5.213
3.128 5.213 5.213
```

No. 7
The following is a DFT calculation (PBE) of a relaxed structure of TaNb2SiRu.

Calculated values
DFT total energy ... -8.7594 eV per atom
Formation energy from raw total energies ... 579 meV/atom
Symmetry ... No. 123
N(E_F) ... 1.45 states/eV/atom
Total magnetic moment ... 0.0 μB/f.u.

```
TaNb2SiRu
1.0
4.663 0.000 0.000
0.000 4.663 0.000
0.000 0.000 4.291
Ta Nb Si Ru
1 2 1 1
Cartesian
0.000 0.000 0.000
0.000 2.331 2.145
2.331 0.000 2.145
2.331 2.331 2.145
2.331 2.331 0.000
```

No. 8
The following is a DFT calculation (PBE) of a relaxed structure of Cs3PdO2.

Calculated values
DFT total energy ... -3.8107 eV per atom
Formation energy from raw total energies ... -866 meV/atom
Symmetry ... No. 58
N(E_F) ... 1.01 states/eV/atom
Total magnetic moment ... 1.0 μB/f.u.

```
Cs3PdO2
1.0
6.434 0.000 0.000
0.000 12.158 0.000
0.000 0.000 4.734
Cs Pd O
6 2 4
Cartesian
0.000 0.000 0.000
0.387 3.387 2.367
2.830 9.465 0.000
3.217 6.079 2.367
3.604 2.692 0.000
6.047 8.771 2.367
0.000 6.079 0.000
3.217 0.000 2.367
1.452 4.741 0.000
1.765 10.820 2.367
4.669 1.337 2.367
4.982 7.416 0.000
```

No. 9
The following is a DFT calculation (PBE) of a relaxed structure of ZnAuCl2.

Calculated values
DFT total energy ... -2.2315 eV per atom
Formation energy from raw total energies ... -170 meV/atom
Symmetry ... No. 122
N(E_F) ... 0.28 states/eV/atom
Distance to the lowest polymorph of the same formula ... 283 meV/atom
Total magnetic moment ... 0.0 μB/f.u.

```
ZnAuCl2
1.0
-3.319 3.319 4.773
3.319 -3.319 4.773
3.319 3.319 -4.773
Zn Au Cl
2 2 4
Cartesian
0.000 0.000 0.000
0.000 3.319 2.387
3.319 0.000 2.387
0.000 0.000 4.773
4.978 1.081 -1.193
1.081 1.659 1.193
-1.659 2.238 3.580
2.238 1.659 5.967
```

No. 10
The following is a DFT calculation (PBE) of a relaxed structure of BaLiGe2Ru.

Calculated values
DFT total energy ... -4.7914 eV per atom
Symmetry ... No. 123
ΔH_f (0 K) ... -0.3220 eV per atom
N(E_F) ... 0.47 states/eV/atom
Total magnetic moment ... 0.0 μB/f.u.

```
BaLiGe2Ru
1.0
4.795 0.000 0.000
0.000 4.795 0.000
0.000 0.000 4.995
Ba Li Ge Ru
1 1 2 1
Cartesian
0.000 0.000 0.000
2.398 2.398 0.000
0.000 2.398 2.497
2.398 0.000 2.497
2.398 2.398 2.497
```

No. 11
The following is a DFT calculation (PBE) of a relaxed structure of BiPF2.

Calculated values
DFT total energy ... -4.2319 eV per atom
Formation energy from raw total energies ... -974 meV/atom
Symmetry ... No. 166
N(E_F) ... 0.21 states/eV/atom
Distance to the lowest polymorph of the same formula ... 0 meV/atom
Total magnetic moment ... 0.0 μB/f.u.

```
BiPF2
1.0
1.574 0.909 8.613
-1.574 0.909 8.613
0.000 -1.818 8.613
Bi P F
1 1 2
Cartesian
0.000 0.000 0.000
0.000 0.000 12.919
0.000 0.000 11.143
0.000 0.000 14.696
```

No. 12
The following is a DFT calculation (PBE) of a relaxed structure of K2SbBr3O.

Calculated values
DFT total energy ... -3.5860 eV per atom
Formation energy from raw total energies ... -1258 meV/atom
Symmetry ... No. 71
Total magnetic moment ... 0.0 μB/f.u.

```
K2SbBr3O
1.0
-2.111 2.902 8.916
2.111 -2.902 8.916
2.111 2.902 -8.916
K Sb Br O
2 1 3 1
Cartesian
0.000 0.000 2.611
0.000 0.000 15.221
0.000 0.000 8.916
2.111 0.000 0.000
0.000 0.000 5.921
0.000 0.000 11.912
0.000 2.902 0.000
```

- Look up the total magnetic moment of the eleventh one.
  0.0 μB/f.u.

- DFT total energy of number 7 (TaNb2SiRu)?
  -8.7594 eV per atom

- Which value of total magnetic moment does entry 1 give?
  1.9 μB/f.u.